Entry 1:
# TaFeIr2 | the Alexandria database | GGA-PBE | relaxed
# **Formation enthalpy at 0 K**: -230 meV per atom
# **VASP energy**: -39.0 eV for the cell shown
data_TaFeIr2
_chemical_formula_sum 'Ta1 Fe1 Ir2'
_cell_length_a 4.696
_cell_length_b 2.786
_cell_length_c 4.738
_cell_angle_alpha 90.00
_cell_angle_beta 109.53
_cell_angle_gamma 90.00
_symmetry_space_group_name_H-M 'P 1 2/m 1'
_symmetry_Int_Tables_number 10
loop_
_symmetry_equiv_pos_as_xyz
'x,y,z'
'-x,-y,-z'
'-x,y,-z'
'x,-y,z'
loop_
_atom_site_label
_atom_site_fract_x
_atom_site_fract_y
_atom_site_fract_z
_atom_site_occupancy
Ta1 0.000 0.000 0.000 1
Fe1 0.500 0.500 0.000 1
Ir1 0.000 0.500 0.500 1
Ir2 0.500 0.000 0.500 1

***

Entry 2:
# TaFeIr2 | the Alexandria database | GGA-PBE | relaxed
# **Formation enthalpy at 0 K**: -250 meV per atom
# **VASP energy**: -78.1 eV for the cell shown
data_TaFeIr2
_chemical_formula_sum 'Ta2 Fe2 Ir4'
_cell_length_a 9.044
_cell_length_b 2.783
_cell_length_c 4.753
_cell_angle_alpha 90.00
_cell_angle_beta 100.01
_cell_angle_gamma 90.00
_symmetry_space_group_name_H-M 'C 1 2/m 1'
_symmetry_Int_Tables_number 12
loop_
_symmetry_equiv_pos_as_xyz
'x,y,z'
'-x,-y,-z'
'-x,y,-z'
'x,-y,z'
'x+1/2,y+1/2,z'
'-x+1/2,-y+1/2,-z'
'-x+1/2,y+1/2,-z'
'x+1/2,-y+1/2,z'
loop_
_atom_site_label
_atom_site_fract_x
_atom_site_fract_y
_atom_site_fract_z
_atom_site_occupancy
Ta1 0.000 0.000 0.000 1
Fe1 0.000 0.500 0.500 1
Ir1 0.247 0.000 0.737 1

***

Entry 3:
# TaFeIr3 | the Alexandria database | GGA-PBE | relaxed
# **Formation enthalpy at 0 K**: 1993 meV per atom
# **VASP energy**: -36.9 eV for the cell shown
# **Energy relative to the lowest polymorph listed for this composition**: 0.830 eV per atom
data_TaFeIr3
_chemical_formula_sum 'Ta1 Fe1 Ir3'
_cell_length_a 4.743
_cell_length_b 4.743
_cell_length_c 4.743
_cell_angle_alpha 90.00
_cell_angle_beta 90.00
_cell_angle_gamma 90.00
_symmetry_space_group_name_H-M 'P m -3 m'
_symmetry_Int_Tables_number 221
_symmetry_space_group_name_Hall '-P 4 2 3'
loop_
_atom_site_label
_atom_site_fract_x
_atom_site_fract_y
_atom_site_fract_z
_atom_site_occupancy
Ta1 0.000 0.000 0.000 1
Fe1 0.500 0.500 0.500 1
Ir1 0.000 0.000 0.500 1